Computed, not measured: crystalline NaNd2Sn4Pt3 at its relaxed geometry at the PBE-GGA level of DFT.

Properties
* magnetization: 0.000 μB per atom
* energy of formation from the pure elements: -0.684 eV/atom
* E_tot: -51.82 eV per cell
* density of states at the Fermi level: 6.1 states/eV/cell

Cell and atoms, written as CIF:
```
data_NaNd2Sn4Pt3
_cell_length_a 4.497
_cell_length_b 4.497
_cell_length_c 11.566
_cell_angle_alpha 90.00
_cell_angle_beta 90.00
_cell_angle_gamma 90.00
_symmetry_space_group_name_H-M 'P -4 m 2'
_symmetry_Int_Tables_number 115
loop_
_symmetry_equiv_pos_as_xyz
'x,y,z'
'y,-x,-z'
'-x,-y,z'
'-y,x,-z'
'-x,y,z'
'-y,-x,-z'
'x,-y,z'
'y,x,-z'
loop_
_atom_site_label
_atom_site_type_symbol
_atom_site_fract_x
_atom_site_fract_y
_atom_site_fract_z
Na1 Na 0.000 0.000 0.000
Nd1 Nd 0.000 0.500 0.746
Sn1 Sn 0.000 0.000 0.500
Sn2 Sn 0.000 0.500 0.143
Sn3 Sn 0.500 0.500 0.500
Pt1 Pt 0.000 0.500 0.370
Pt2 Pt 0.500 0.500 0.000
```



Computed, not measured: crystalline VGeBr at its relaxed geometry at the PBE-GGA level of DFT.

Properties
* magnetization: 0.022 μB per atom
* formation energy from raw total energies: -12.6 kJ per mole of atoms
* E_tot: -63.20 eV per cell
* density of states at the Fermi level: 6.2 states/eV/cell

Cell and atoms, written as CIF:
```
data_VGeBr
_cell_length_a 6.643
_cell_length_b 6.339
_cell_length_c 5.874
_cell_angle_alpha 90.00
_cell_angle_beta 106.15
_cell_angle_gamma 90.00
_symmetry_space_group_name_H-M 'P 1 21/c 1'
_symmetry_Int_Tables_number 14
loop_
_symmetry_equiv_pos_as_xyz
'x,y,z'
'-x,-y,-z'
'-x,y+1/2,-z+1/2'
'x,-y+1/2,z+1/2'
loop_
_atom_site_label
_atom_site_type_symbol
_atom_site_fract_x
_atom_site_fract_y
_atom_site_fract_z
V1 V 0.199 0.040 0.052
Ge1 Ge 0.062 0.747 0.770
Br1 Br 0.413 0.115 0.743
```



Computed, not measured: crystalline Sm3Sn2Pt at its relaxed geometry at the PBE-GGA level of DFT.

Properties
* magnetization: 0.000 μB per atom
* energy of formation from the pure elements: -0.889 eV/atom
* E_tot: -134.15 eV per cell
* density of states at the Fermi level: 18.2 states/eV/cell

Cell and atoms, written as CIF:
```
data_Sm3Sn2Pt
_cell_length_a 12.401
_cell_length_b 4.560
_cell_length_c 11.863
_cell_angle_alpha 90.00
_cell_angle_beta 90.00
_cell_angle_gamma 90.00
_symmetry_space_group_name_H-M 'P n m a'
_symmetry_Int_Tables_number 62
loop_
_symmetry_equiv_pos_as_xyz
'x,y,z'
'-x,-y,-z'
'-x+1/2,-y,z+1/2'
'x+1/2,y,-z+1/2'
'x+1/2,-y+1/2,-z+1/2'
'-x+1/2,y+1/2,z+1/2'
'-x,y+1/2,-z'
'x,-y+1/2,z'
loop_
_atom_site_label
_atom_site_type_symbol
_atom_site_fract_x
_atom_site_fract_y
_atom_site_fract_z
Sm1 Sm 0.053 0.250 0.129
Sm2 Sm 0.121 0.750 0.554
Sm3 Sm 0.232 0.250 0.802
Sn1 Sn 0.003 0.750 0.307
Sn2 Sn 0.188 0.750 0.005
Pt1 Pt 0.124 0.250 0.372
```